VASP calculation (PBE) on an optimized crystal structure of CaTiSb2Te.

Output
**Energy above the lowest structure with this stoichiometry**: 0.0 meV per atom
**SG**: No. 123
**Energy relative to the elements, uncorrected**: -32.9 kJ per mole of atoms

Lattice parameters (Å, degrees): 5.3253 5.3253 5.3814 90.00 90.00 90.00
Element x y z (fractional)
Ca 0.5000 0.5000 0.5000
Sb 0.5000 0.0000 0.0000
Sb 0.0000 0.5000 0.0000
Ti 0.0000 0.0000 0.0000
Te 0.0000 0.0000 0.5000



VASP calculation (PBE) on an optimized crystal structure of CaTl2SbTe4.

Output
**SG**: No. 10
**Energy relative to the elements, uncorrected**: -51.4 kJ per mole of atoms

Lattice parameters (Å, degrees): 4.5063 8.0341 7.9675 71.40 90.00 90.00
Element x y z (fractional)
Te 0.0000 0.7239 0.7650
Tl 0.5000 0.0000 0.5000
Te 0.5000 0.7269 0.2505
Tl 0.0000 0.0000 0.0000
Te 0.5000 0.2731 0.7495
Te 0.0000 0.2761 0.2350
Sb 0.5000 0.5000 0.0000
Ca 0.0000 0.5000 0.5000



VASP calculation (PBE) on an optimized crystal structure of CaTl3Sb2Te6.

Output
**SG**: No. 12
**Energy relative to the elements, uncorrected**: -42.0 kJ per mole of atoms

Lattice parameters (Å, degrees): 7.8191 7.8191 8.1961 99.13 99.13 119.94
Element x y z (fractional)
Te 0.9244 0.5829 0.7757
Sb 0.3332 0.6668 0.0000
Te 0.5829 0.9244 0.7757
Te 0.2692 0.2692 0.7814
Tl 0.8378 0.1622 0.5000
Te 0.7308 0.7308 0.2186
Tl 0.5000 0.5000 0.5000
Te 0.0756 0.4171 0.2243
Ca 0.0000 0.0000 0.0000
Te 0.4171 0.0756 0.2243
Tl 0.1622 0.8378 0.5000
Sb 0.6668 0.3332 0.0000



VASP calculation (PBE) on an optimized crystal structure of CaSbTe2W.

Output
**Energy above the lowest structure with this stoichiometry**: 0.0 meV per atom
**SG**: No. 123
**Energy relative to the elements, uncorrected**: 17.1 kJ per mole of atoms

Lattice parameters (Å, degrees): 5.4821 5.4821 5.2027 90.00 90.00 90.00
Last column: magnetic moment on the atom in μB.
Element x y z (fractional)
W 0.0000 0.0000 0.0000  0.43
Te 0.5000 0.0000 0.0000  0.00
Ca 0.5000 0.5000 0.5000  0.02
Te 0.0000 0.5000 0.0000  0.00
Sb 0.0000 0.0000 0.5000  -0.01



VASP calculation (PBE) on an optimized crystal structure of CaYSbTe2.

Output
**Energy above the lowest structure with this stoichiometry**: 432.1 meV per atom
**SG**: No. 123
**Energy relative to the elements, uncorrected**: -10.4 kJ per mole of atoms

Lattice parameters (Å, degrees): 5.6894 5.6894 5.5886 90.00 90.00 90.00
Element x y z (fractional)
Y 0.5000 0.5000 0.5000
Te 0.5000 0.0000 0.0000
Te 0.0000 0.5000 0.0000
Ca 0.0000 0.0000 0.0000
Sb 0.0000 0.0000 0.5000



VASP calculation (PBE) on an optimized crystal structure of CaYSbTe2.

Output
**Energy above the lowest structure with this stoichiometry**: 0.0 meV per atom
**SG**: No. 123
**Energy relative to the elements, uncorrected**: -52.1 kJ per mole of atoms

Lattice parameters (Å, degrees): 5.8254 5.8254 5.7641 90.00 90.00 90.00
Element x y z (fractional)
Y 0.0000 0.0000 0.0000
Ca 0.5000 0.5000 0.5000
Sb 0.0000 0.0000 0.5000
Te 0.5000 0.0000 0.0000
Te 0.0000 0.5000 0.0000



VASP calculation (PBE) on an optimized crystal structure of CaZnSb2Te.

Output
**Energy above the lowest structure with this stoichiometry**: 551.0 meV per atom
**SG**: No. 123
**Energy relative to the elements, uncorrected**: 50.5 kJ per mole of atoms

Lattice parameters (Å, degrees): 5.8279 5.8279 5.7189 90.00 90.00 90.00
Element x y z (fractional)
Sb 0.0000 0.5000 0.0000
Zn 0.5000 0.5000 0.5000
Te 0.0000 0.0000 0.5000
Sb 0.5000 0.0000 0.0000
Ca 0.0000 0.0000 0.0000



VASP calculation (PBE) on an optimized crystal structure of CaZnSb2Te.

Output
**Energy above the lowest structure with this stoichiometry**: 0.0 meV per atom
**SG**: No. 123
**Energy relative to the elements, uncorrected**: -2.7 kJ per mole of atoms

Lattice parameters (Å, degrees): 5.2008 5.2008 5.6471 90.00 90.00 90.00
Element x y z (fractional)
Te 0.0000 0.0000 0.5000
Zn 0.0000 0.0000 0.0000
Ca 0.5000 0.5000 0.5000
Sb 0.5000 0.0000 0.0000
Sb 0.0000 0.5000 0.0000



VASP calculation (PBE) on an optimized crystal structure of CaZrSb2Te.

Output
**Energy above the lowest structure with this stoichiometry**: 0.0 meV per atom
**SG**: No. 123
**Energy relative to the elements, uncorrected**: -31.0 kJ per mole of atoms

Lattice parameters (Å, degrees): 5.5814 5.5814 5.5880 90.00 90.00 90.00
Element x y z (fractional)
Ca 0.5000 0.5000 0.5000
Zr 0.0000 0.0000 0.0000
Te 0.0000 0.0000 0.5000
Sb 0.0000 0.5000 0.0000
Sb 0.5000 0.0000 0.0000



VASP calculation (PBE) on an optimized crystal structure of CaZrSbTe2.

Output
**Energy above the lowest structure with this stoichiometry**: 0.0 meV per atom
**SG**: No. 123
**Energy relative to the elements, uncorrected**: -48.2 kJ per mole of atoms

Lattice parameters (Å, degrees): 5.6133 5.6133 5.5944 90.00 90.00 90.00
Element x y z (fractional)
Ca 0.5000 0.5000 0.5000
Zr 0.0000 0.0000 0.0000
Te 0.0000 0.5000 0.0000
Sb 0.0000 0.0000 0.5000
Te 0.5000 0.0000 0.0000



VASP calculation (PBE) on an optimized crystal structure of CaZr2SbTe.

Output
**SG**: No. 123
**Energy relative to the elements, uncorrected**: 44.9 kJ per mole of atoms

Lattice parameters (Å, degrees): 5.3668 6.0845 5.3668 90.00 90.00 90.00
Element x y z (fractional)
Zr 0.0000 0.0000 0.5000
Sb 0.0000 0.0000 0.0000
Zr 0.5000 0.0000 0.0000
Te 0.0000 0.5000 0.0000
Ca 0.5000 0.5000 0.5000



VASP calculation (PBE) on an optimized crystal structure of CaTh5Sb6.

Output
**SG**: No. 12
**Energy relative to the elements, uncorrected**: -90.5 kJ per mole of atoms

Lattice parameters (Å, degrees): 7.8170 7.8099 7.8018 59.97 80.42 70.58
Element x y z (fractional)
Ca 0.0000 0.0000 0.0000
Th 0.5000 0.8345 0.3310
Sb 0.2496 0.5848 0.3322
Th 0.0000 0.3337 0.3326
Sb 0.2478 0.2488 0.0000
Sb 0.2496 0.9170 0.6678
Sb 0.7504 0.4152 0.6678
Th 0.0000 0.6663 0.6674
Sb 0.7522 0.7512 0.0000
Th 0.5000 0.1655 0.6690
Th 0.5000 0.5000 0.0000
Sb 0.7504 0.0830 0.3322



VASP calculation (PBE) on an optimized crystal structure of CaTh5Sb8.

Output
**SG**: No. 82
**Energy relative to the elements, uncorrected**: -84.6 kJ per mole of atoms

Lattice parameters (Å, degrees): 8.1877 8.1877 8.1877 109.95 108.51 109.95
Element x y z (fractional)
Th 0.8703 0.8744 0.2443
Sb 0.6375 0.4120 0.8801
Ca 0.2500 0.5000 0.7500
Sb 0.1199 0.7573 0.5318
Th 0.0041 0.3740 0.1297
Sb 0.6226 0.9098 0.8734
Th 0.7557 0.6260 0.6301
Th 0.3699 0.1256 0.9959
Sb 0.4682 0.5880 0.2255
Sb 0.9637 0.0902 0.7128
Sb 0.1266 0.7491 0.0363
Th 0.5000 0.0000 0.5000
Sb 0.2872 0.2509 0.3774
Sb 0.7745 0.2427 0.3625